Crystalline Rb3Nd3BiS8 at its relaxed geometry. Source: the Alexandria database, functional PBE.

Cell: 8.3351 8.3351 23.5636 Å, 90.00 90.00 120.00°
Space group R-3m (No. 166, hexagonal axes)
Inequivalent atoms, fractional coordinates:
Rb 0.0000 0.5000 0.0000
Nd 0.0000 0.5000 0.5000
Bi 0.0000 0.0000 0.5000
S 0.0000 0.0000 0.2317
S 0.0100 0.5050 0.2308

Computed properties:
Total moment: 0.0 μB/cell
Energy relative to the elements, uncorrected: -1474 meV per atom
Total energy: -228.6 eV per cell
Volume: 31.50 Å³/atom

***

Crystalline K3PuPa2Se6 at its relaxed geometry. Source: the Alexandria database, functional PBE.

Cell: 7.2937 12.6323 8.1594 Å, 90.00 107.33 90.00°
Space group C2/m (No. 12)
Inequivalent atoms, fractional coordinates:
K 0.0000 0.0000 0.0000
K 0.0000 0.3352 0.0000
Pu 0.0000 0.5000 0.5000
Pa 0.0000 0.1668 0.5000
Se 0.2299 0.0000 0.7100
Se 0.2402 0.3300 0.7103

Computed properties:
Total moment: 18.0 μB/cell
Energy relative to the elements, uncorrected: -1392 meV per atom
Total energy: -148.5 eV per cell
Volume: 29.90 Å³/atom

***

Crystalline Hf2ReOs at its relaxed geometry. Source: the Alexandria database, functional PBE.

Cell: 7.3127 7.3127 5.6052 Å, 90.00 90.00 90.00°
Space group I-42d (No. 122)
Inequivalent atoms, fractional coordinates:
Hf 0.2419 0.2500 0.1250
Re 0.0000 0.0000 0.5000
Os 0.0000 0.0000 0.0000

Computed properties:
Total moment: 0.0 μB/cell
Formation energy: 0.385 eV per atom
Total energy: -168.2 eV per cell
Volume: 18.73 Å³/atom
E above lowest polymorph: 3.65 eV/f.u.